Density functional theory data (GGA-PBE) for a relaxed LiFe2Os2 crystal.

Cell and atoms, written as POSCAR:
```
LiFe2Os2
1.0
7.1833 0.0000 0.0000
0.0000 7.1833 0.0000
0.0000 0.0000 2.5875
Li Fe Os
2 4 4
Cartesian
0.0000 0.0000 0.0000
3.5917 3.5917 0.0000
0.8615 2.7302 0.0000
2.7302 6.3219 0.0000
4.4532 0.8615 0.0000
6.3219 4.4532 0.0000
1.2309 4.8225 1.2938
2.3608 1.2309 1.2938
4.8225 5.9525 1.2938
5.9525 2.3608 1.2938
```

**Total energy**: -8.0156 eV/atom
**Energy of formation from the pure elements**: 0.244 eV per atom

=====

Density functional theory data (GGA-PBE) for a relaxed La3Bi3H2 crystal.

Cell and atoms, written as POSCAR:
```
La3Bi3H2
1.0
3.6496 0.0000 0.0000
-0.0010 6.0136 0.0000
-1.7984 -1.7171 9.4765
La Bi H
3 3 2
Cartesian
0.0000 0.0000 0.0000
0.0139 2.9925 3.2336
1.8364 1.3041 6.2429
0.0121 4.3287 6.5126
1.8243 3.0068 0.0000
1.8382 -0.0322 2.9639
0.0120 1.4883 4.9724
1.8382 2.8083 4.5041
```

**Total energy**: -4.8554 eV/atom

=====

Density functional theory data (GGA-PBE) for a relaxed Mo5Pt4 crystal.

Cell and atoms, written as POSCAR:
```
Mo5Pt4
1.0
-4.2296 4.2296 1.9623
4.2296 -4.2296 1.9623
4.2296 4.2296 -1.9623
Mo Pt
5 4
Cartesian
0.0000 0.0000 0.0000
2.7832 2.7832 0.0000
1.4463 -1.4463 1.9623
-1.4463 1.4463 1.9623
1.4463 1.4463 1.9623
2.7581 0.0000 0.0000
5.7010 0.0000 0.0000
0.0000 2.7581 0.0000
0.0000 5.7010 0.0000
```

**Total energy**: -8.9297 eV/atom
**Energy of formation from the pure elements**: -0.228 eV per atom

=====

Density functional theory data (GGA-PBE) for a relaxed TlNi2Pb crystal.

Cell and atoms, written as POSCAR:
```
TlNi2Pb
1.0
3.8843 0.0000 0.0000
0.0000 3.8843 0.0000
0.0000 0.0000 9.7426
Tl Ni Pb
2 4 2
Cartesian
0.0000 0.0000 0.0000
1.9422 1.9422 4.8713
0.0000 0.0000 4.8713
0.0000 1.9422 7.3070
1.9422 0.0000 2.4357
1.9422 1.9422 0.0000
0.0000 1.9422 2.4357
1.9422 0.0000 7.3070
```

**Total energy**: -4.0084 eV/atom
**Energy of formation from the pure elements**: 0.401 eV per atom

=====

Density functional theory data (GGA-PBE) for a relaxed Al2Ag2Pb crystal.

Cell and atoms, written as POSCAR:
```
Al2Ag2Pb
1.0
4.0491 0.0000 0.0000
0.0000 4.0491 0.0000
0.0000 0.0000 12.7761
Al Ag Pb
4 4 2
Cartesian
0.0000 2.0246 3.1940
0.0000 2.0246 9.5821
2.0246 0.0000 3.1940
2.0246 0.0000 9.5821
0.0000 0.0000 1.4406
0.0000 0.0000 11.3355
2.0246 2.0246 4.9475
2.0246 2.0246 7.8286
0.0000 0.0000 6.3881
2.0246 2.0246 0.0000
```

**Total energy**: -3.3157 eV/atom
**Energy of formation from the pure elements**: 0.063 eV per atom

=====

Density functional theory data (GGA-PBE) for a relaxed Mn2CuAs crystal.

Cell and atoms, written as POSCAR:
```
Mn2CuAs
1.0
3.7377 0.0000 0.0000
0.0000 3.7377 0.0000
0.0000 0.0000 7.4008
Mn Cu As
4 2 2
Cartesian
0.0000 1.8688 1.8502
0.0000 1.8688 5.5506
1.8688 0.0000 1.8502
1.8688 0.0000 5.5506
0.0000 0.0000 0.0000
1.8688 1.8688 3.7004
0.0000 0.0000 3.7004
1.8688 1.8688 0.0000
```

**Total energy**: -6.7465 eV/atom
**Energy of formation from the pure elements**: 0.025 eV per atom

=====

> What is the formula in the fourth record?

TlNi2Pb

=====

> What is the total energy in the third record?

-8.9297 eV/atom

=====

Copy entry 5 word for word.
Density functional theory data (GGA-PBE) for a relaxed Al2Ag2Pb crystal.

Cell and atoms, written as POSCAR:
```
Al2Ag2Pb
1.0
4.0491 0.0000 0.0000
0.0000 4.0491 0.0000
0.0000 0.0000 12.7761
Al Ag Pb
4 4 2
Cartesian
0.0000 2.0246 3.1940
0.0000 2.0246 9.5821
2.0246 0.0000 3.1940
2.0246 0.0000 9.5821
0.0000 0.0000 1.4406
0.0000 0.0000 11.3355
2.0246 2.0246 4.9475
2.0246 2.0246 7.8286
0.0000 0.0000 6.3881
2.0246 2.0246 0.0000
```

**Total energy**: -3.3157 eV/atom
**Energy of formation from the pure elements**: 0.063 eV per atom